The following is a SCAN calculation of BeSnPt2Se at its PBEsol-relaxed geometry, from Alexandria.

Values from the calculation:
Energy relative to the elements, uncorrected (eV per atom): 0.28

POSCAR file:
```
BeSnPt2Se
1.0
-3.7198 -2.0535 -0.4074
2.0859 -3.7061 -0.3653
-0.2002 -0.5822 4.7631
Sn Pt Be Se
1 2 1 1
Direct
0.0000 0.0000 0.5000
0.5000 0.0000 0.0000
0.0000 0.5000 0.0000
0.0000 0.0000 0.0000
0.5000 0.5000 0.5000
```